1.
A relaxed LiTm2IrO6 crystal. Source: the Alexandria database, functional GGA-PBE.

As for the total moment: 0.203 μB/atom. The value obtained for the uncorrected formation energy is -2.339 eV/atom. As for the space group: R3. The uncorrected energy comes out at -7.2856 eV per atom.

Unit cell a=5.827 b=5.827 c=5.827 alpha=55.73 beta=55.73 gamma=55.73
Element x y z (fractional)
Li 0.000 0.000 0.000
Tm 0.264 0.264 0.264
Tm 0.771 0.771 0.771
Ir 0.465 0.465 0.465
O 0.100 0.675 0.360
O 0.211 0.570 0.829
O 0.360 0.100 0.675
O 0.570 0.829 0.211
O 0.675 0.360 0.100
O 0.829 0.211 0.570

=====

2.
A relaxed TlW3 crystal. Source: the Alexandria database, functional GGA-PBE.

As for the total moment: 0.000 μB/atom. As for the formation energy: 0.711 eV per atom. As for the space group: P2/m. The uncorrected energy comes out at -9.5952 eV per atom. The calculation puts the excess energy over the best structure of this formula in the dataset at 0.56 eV per formula unit.

Unit cell a=2.870 b=4.345 c=5.840 alpha=90.00 beta=95.34 gamma=90.00
Element x y z (fractional)
Tl 0.000 0.000 0.000
W 0.000 0.000 0.500
W 0.399 0.500 0.710
W 0.601 0.500 0.290

=====

3.
A relaxed TaTi2ZnH crystal. Source: the Alexandria database, functional GGA-PBE.

As for the total moment: 0.000 μB/atom. As for the space group: P4/mmm. The uncorrected energy comes out at -6.6242 eV per atom. The calculation puts the excess energy over the best structure of this formula in the dataset at 0.00 eV per formula unit.

Unit cell a=4.082 b=4.082 c=4.057 alpha=90.00 beta=90.00 gamma=90.00
Element x y z (fractional)
Ta 0.000 0.000 0.000
Ti 0.000 0.500 0.500
Ti 0.500 0.000 0.500
Zn 0.500 0.500 0.000
H 0.000 0.000 0.500